(1)
## Tm2Ta2C3 (GGA-PBE)

Data for crystalline Tm2Ta2C3 at its relaxed geometry.

Cell and atoms, written as extended XYZ:
```
7
Lattice="-0.654 0.069 -3.301 -5.590 -0.560 1.096 1.484 5.595 1.539" Properties=species:S:1:pos:R:3 pbc="T T T"
Tm -4.769 0.836 -0.753
Tm 0.010 4.269 0.088
Ta -3.206 3.651 -1.004
Ta -1.553 1.454 0.338
C 0.000 0.000 0.000
C -1.248 2.661 -1.413
C -3.511 2.444 0.747
```

Summary:
D(E_F), states/eV per cell: 2.984
Total DFT energy (no corrections), eV per atom: -9.15

(2)
## YTlZn2 (GGA-PBE)

Data for crystalline YTlZn2 at its relaxed geometry.

Cell and atoms, written as extended XYZ:
```
4
Lattice="-4.504 2.164 -3.511 -5.948 -1.010 -0.949 -5.305 2.951 0.668" Properties=species:S:1:pos:R:3 pbc="T T T"
Tl -8.213 2.140 -1.977
Y -11.555 3.011 -2.781
Zn -15.127 3.941 -3.640
Zn -4.496 1.171 -1.082
```

Summary:
D(E_F), states/eV per cell: 1.740
Total DFT energy (no corrections), eV per atom: -3.06
Distance to the lowest polymorph of the same formula, meV/atom: 5

(3)
## Ac6PdRh3 (GGA-PBE)

Data for crystalline Ac6PdRh3 at its relaxed geometry.

Cell and atoms, written as extended XYZ:
```
20
Lattice="4.325 0.000 0.000 0.000 13.192 -0.180 0.000 -4.586 11.603" Properties=species:S:1:pos:R:3 pbc="T T T"
Ac 3.244 2.992 6.837
Ac 1.081 5.614 4.587
Ac 3.244 11.911 0.952
Ac 1.081 -3.305 10.471
Ac 3.244 4.931 0.649
Ac 1.081 3.675 10.775
Ac 3.244 8.481 2.843
Ac 1.081 0.124 8.580
Ac 3.244 -0.724 5.200
Ac 1.081 9.330 6.224
Ac 3.244 6.663 8.533
Ac 1.081 1.943 2.890
Pd 3.244 -2.281 8.076
Pd 1.081 10.887 3.348
Rh 3.244 1.969 9.602
Rh 1.081 6.636 1.821
Rh 3.244 7.317 5.622
Rh 1.081 1.289 5.801
Rh 3.244 1.747 0.940
Rh 1.081 6.859 10.484
```

Summary:
D(E_F), states/eV per cell: 13.328
Total DFT energy (no corrections), eV per atom: -5.82

(4)
## BPRhC (GGA-PBE)

Data for crystalline BPRhC at its relaxed geometry.

Cell and atoms, written as extended XYZ:
```
8
Lattice="3.981 0.000 -0.002 0.000 3.125 0.000 -1.933 0.000 7.990" Properties=species:S:1:pos:R:3 pbc="T T T"
P 0.821 0.000 4.607
P 1.787 1.563 0.612
C 0.864 0.000 2.861
C -0.102 1.563 6.856
B 1.944 0.000 1.756
B 0.978 1.563 5.751
Rh -1.215 0.000 5.967
Rh -0.248 1.563 1.972
```

Summary:
D(E_F), states/eV per cell: 5.614
Total DFT energy (no corrections), eV per atom: -6.83
Distance to the lowest polymorph of the same formula, meV/atom: 285

(5)
## SrPtRh4 (GGA-PBE)

Data for crystalline SrPtRh4 at its relaxed geometry.

Cell and atoms, written as extended XYZ:
```
6
Lattice="0.000 3.738 3.738 3.738 0.000 3.738 3.738 3.738 0.000" Properties=species:S:1:pos:R:3 pbc="T T T"
Sr 5.608 5.608 5.608
Pt 0.000 0.000 0.000
Rh 2.798 4.679 4.679
Rh 4.679 4.679 2.798
Rh 4.679 2.798 4.679
Rh 2.798 2.798 2.798
```

Summary:
D(E_F), states/eV per cell: 12.748
Total DFT energy (no corrections), eV per atom: -6.08

(6)
## ZrPSN2 (GGA-PBE)

Data for crystalline ZrPSN2 at its relaxed geometry.

Cell and atoms, written as extended XYZ:
```
5
Lattice="4.086 0.000 0.000 0.000 4.086 0.000 0.000 0.000 5.402" Properties=species:S:1:pos:R:3 pbc="T T T"
P 2.043 2.043 2.701
S 0.000 0.000 2.701
Zr 0.000 0.000 0.000
N 0.000 2.043 0.000
N 2.043 0.000 0.000
```

Summary:
D(E_F), states/eV per cell: 3.732
Total DFT energy (no corrections), eV per atom: -6.14
Formation energy from raw total energies, eV/atom: 0.81
Distance to the lowest polymorph of the same formula, meV/atom: 586

(7)
## Na2LiCu3Sb4 (GGA-PBE)

Data for crystalline Na2LiCu3Sb4 at its relaxed geometry.

Cell and atoms, written as extended XYZ:
```
10
Lattice="4.476 0.000 0.000 0.000 4.476 0.000 0.000 0.000 11.202" Properties=species:S:1:pos:R:3 pbc="T T T"
Na 2.238 0.000 3.005
Na 0.000 2.238 8.197
Li 2.238 2.238 5.601
Cu 0.000 0.000 5.601
Cu 2.238 0.000 9.665
Cu 0.000 2.238 1.538
Sb 2.238 2.238 0.000
Sb 0.000 0.000 0.000
Sb 2.238 0.000 7.120
Sb 0.000 2.238 4.082
```

Summary:
D(E_F), states/eV per cell: 4.634
Total DFT energy (no corrections), eV per atom: -3.51
Formation energy from raw total energies, eV/atom: -0.17

(8)
## PmSmTe2 (GGA-PBE)

Data for crystalline PmSmTe2 at its relaxed geometry.

Cell and atoms, written as extended XYZ:
```
4
Lattice="4.331 0.000 0.000 2.166 3.751 0.000 2.166 1.250 9.853" Properties=species:S:1:pos:R:3 pbc="T T T"
Te 2.166 1.250 6.782
Te 6.497 3.751 3.070
Sm 4.331 2.501 4.926
Pm 0.000 0.000 0.000
```

Summary:
D(E_F), states/eV per cell: 2.235
Total DFT energy (no corrections), eV per atom: -4.87
Formation energy from raw total energies, eV/atom: -0.93
Distance to the lowest polymorph of the same formula, meV/atom: 476

Repeat the sixth record exactly.
## ZrPSN2 (GGA-PBE)

Data for crystalline ZrPSN2 at its relaxed geometry.

Cell and atoms, written as extended XYZ:
```
5
Lattice="4.086 0.000 0.000 0.000 4.086 0.000 0.000 0.000 5.402" Properties=species:S:1:pos:R:3 pbc="T T T"
P 2.043 2.043 2.701
S 0.000 0.000 2.701
Zr 0.000 0.000 0.000
N 0.000 2.043 0.000
N 2.043 0.000 0.000
```

Summary:
D(E_F), states/eV per cell: 3.732
Total DFT energy (no corrections), eV per atom: -6.14
Formation energy from raw total energies, eV/atom: 0.81
Distance to the lowest polymorph of the same formula, meV/atom: 586